Computed, not measured: BaGaRe after structural relaxation at the PBE-GGA level of DFT.

a b c (Å): 4.1373 19.8773 4.2916
angles (deg): 90.00 90.00 90.00
Closest atoms and distances in Å follow each position.
Fractional coordinates of all 12 atoms:
Ba  0.0000  0.1538  0.0000  4 Ga 3.26-3.39, 1 Re 3.39
Ba  0.0000  0.8462  0.0000  4 Ga 3.26-3.39, 1 Re 3.39
Ba  0.5000  0.3462  0.5000  4 Ga 3.26-3.39, 1 Re 3.39
Ba  0.5000  0.6538  0.5000  4 Ga 3.26-3.39, 1 Re 3.39
Ga  0.0000  0.4207  0.0235  4 Re 2.65-2.71
Ga  0.0000  0.5793  0.0235  4 Re 2.65-2.71
Ga  0.5000  0.0793  0.5235  4 Re 2.65-2.71
Ga  0.5000  0.9207  0.5235  4 Re 2.65-2.71
Re  0.0000  0.0000  0.3430  2 Re 2.47, 4 Ga 2.71
Re  0.0000  0.5000  0.5274  2 Re 2.47, 4 Ga 2.65-2.68
Re  0.5000  0.0000  0.0274  2 Re 2.47, 4 Ga 2.65-2.68
Re  0.5000  0.5000  0.8430  2 Re 2.47, 4 Ga 2.71

The volume is 29.41 Å³/atom. The relative energy among the computed polymorphs is 13.4 kJ per mole of atoms.